# 1
Below is a relaxed Ca2HI2 crystal, with properties calculated at the GGA-PBE level.

```
Ca2HI2
1.0
4.7481 0.0000 0.0000
0.0000 4.7481 0.0000
0.0000 0.0000 14.1878
I Ca H
2 2 1
Direct
0.5000 0.5000 0.6575 I
0.5000 0.5000 0.3425 I
0.5000 0.5000 0.1476 Ca
0.5000 0.5000 0.8524 Ca
0.5000 0.5000 0.0000 H
```

Computed properties:
Space-group type: No. 123
DFT total energy, eV for the cell shown: -11.868
M_tot, Bohr magnetons per cell: 0.719

# 2
Below is a relaxed CaH2I crystal, with properties calculated at the GGA-PBE level.

```
CaH2I
1.0
4.4608 0.0000 0.0000
0.0000 4.4608 0.0000
2.2304 2.2304 8.2518
I H Ca
2 4 2
Direct
0.0000 0.0000 0.0000 I
0.7500 0.2500 0.5000 I
0.3741 0.1250 0.2500 H
0.8750 0.6241 0.7500 H
0.3759 0.6250 0.2500 H
0.3750 0.6259 0.7500 H
0.2500 0.7500 0.5000 Ca
0.5000 0.5000 0.0000 Ca
```

Computed properties:
Space-group type: No. 141
M_tot, Bohr magnetons per cell: 0.000
Energy above the lowest structure with this stoichiometry, eV per formula unit: 0.00

# 3
Below is a relaxed Ca2H6I crystal, with properties calculated at the GGA-PBE level.

```
Ca2H6I
1.0
-0.2998 4.3226 3.1262
-3.7458 0.2952 3.7986
1.3860 -0.3261 5.1498
Ca H I
2 6 1
Direct
0.2500 0.2500 0.2500 Ca
0.7500 0.7500 0.7500 Ca
0.3695 0.3695 0.6305 H
0.6305 0.3695 0.3695 H
0.3695 0.6305 0.3695 H
0.6305 0.6305 0.3695 H
0.3695 0.6305 0.6305 H
0.6305 0.3695 0.6305 H
0.0000 0.0000 0.0000 I
```

Computed properties:
Space-group type: No. 225
DFT total energy, eV for the cell shown: -23.638
M_tot, Bohr magnetons per cell: 0.272

# 4
Below is a relaxed CaH3I crystal, with properties calculated at the GGA-PBE level.

```
CaH3I
1.0
4.2476 0.0000 0.0000
0.0000 4.2476 0.0000
0.0000 0.0000 4.2476
H Ca I
3 1 1
Direct
0.0000 0.0000 0.5000 H
0.5000 0.0000 0.0000 H
0.0000 0.5000 0.0000 H
0.0000 0.0000 0.0000 Ca
0.5000 0.5000 0.5000 I
```

Computed properties:
Space-group type: No. 221
M_tot, Bohr magnetons per cell: 0.000
Energy above the lowest structure with this stoichiometry, eV per formula unit: 0.00